Below is crystalline U3SN3 at its relaxed geometry, with properties calculated at the PBE level.

## Properties
total DFT energy (no corrections) = -145.335 eV for the cell shown
E_form (uncorrected) = -133.7 kJ per mole of atoms
theoretical density = 10.5 g cm⁻³
calculated volume = 124.7 Å³/f.u.

abc: 7.616 7.616 7.616
angles: 51.44 51.44 51.44
Element x y z (fractional)
U 0.058 0.748 0.407
U 0.252 0.593 0.942
U 0.407 0.058 0.748
U 0.593 0.942 0.252
U 0.748 0.407 0.058
U 0.942 0.252 0.593
S 0.166 0.166 0.166
S 0.834 0.834 0.834
N 0.056 0.374 0.705
N 0.295 0.944 0.626
N 0.374 0.705 0.056
N 0.626 0.295 0.944
N 0.705 0.056 0.374
N 0.944 0.626 0.295



Below is crystalline Sc2TiB at its relaxed geometry, with properties calculated at the PBE level.

## Properties
total DFT energy (no corrections) = -26.037 eV for the cell shown
ΔH_f (0 K) = 300 meV per atom
theoretical density = 3.3 g cm⁻³
calculated volume = 74.8 Å³/f.u.

abc: 9.136 9.136 9.136
angles: 19.57 19.57 19.57
Element x y z (fractional)
Sc 0.109 0.109 0.109
Sc 0.891 0.891 0.891
Ti 0.000 0.000 0.000
B 0.500 0.500 0.500



Below is crystalline NdTlN at its relaxed geometry, with properties calculated at the PBE level.

## Properties
total DFT energy (no corrections) = -34.609 eV for the cell shown
E_form (uncorrected) = -59.3 kJ per mole of atoms
theoretical density = 7.9 g cm⁻³
calculated volume = 76.6 Å³/f.u.
energy above the most stable polymorph in this dataset = 0.000 kcal/mol of atoms

abc: 4.340 4.340 8.129
angles: 90.00 90.00 90.00
Element x y z (fractional)
Nd 0.250 0.250 0.115
Nd 0.750 0.750 0.885
Tl 0.250 0.250 0.586
Tl 0.750 0.750 0.414
N 0.250 0.750 0.000
N 0.750 0.250 0.000



Below is crystalline SrSn2S at its relaxed geometry, with properties calculated at the PBE level.

## Properties
total DFT energy (no corrections) = -30.845 eV for the cell shown
E_form (uncorrected) = -38.8 kJ per mole of atoms
theoretical density = 4.8 g cm⁻³
calculated volume = 122.4 Å³/f.u.

abc: 7.111 7.111 7.111
angles: 99.61 99.61 131.76
Element x y z (fractional)
Sr 0.000 0.000 0.000
Sr 0.750 0.250 0.500
Sn 0.190 0.625 0.065
Sn 0.375 0.440 0.565
Sn 0.560 0.125 0.935
Sn 0.875 0.810 0.435
S 0.250 0.750 0.500
S 0.500 0.500 0.000



Below is crystalline LaAsN2 at its relaxed geometry, with properties calculated at the PBE level.

## Properties
total DFT energy (no corrections) = -26.904 eV for the cell shown
E_form (uncorrected) = -16.3 kJ per mole of atoms
theoretical density = 5.1 g cm⁻³
calculated volume = 79.1 Å³/f.u.

abc: 6.527 6.527 6.527
angles: 34.39 34.39 34.39
Element x y z (fractional)
La 0.000 0.000 0.000
As 0.500 0.500 0.500
N 0.399 0.399 0.399
N 0.601 0.601 0.601



Below is crystalline NaLi2Pt at its relaxed geometry, with properties calculated at the PBE level.

## Properties
total DFT energy (no corrections) = -12.342 eV for the cell shown
ΔH_f (0 K) = -289 meV per atom
theoretical density = 5.9 g cm⁻³
calculated volume = 65.2 Å³/f.u.
energy above the most stable polymorph in this dataset = 0.000 kcal/mol of atoms

abc: 4.517 4.517 4.517
angles: 60.00 60.00 60.00
Element x y z (fractional)
Na 0.000 0.000 0.000
Li 0.250 0.250 0.250
Li 0.750 0.750 0.750
Pt 0.500 0.500 0.500



Below is crystalline Ho2NpSb3 at its relaxed geometry, with properties calculated at the PBE level.

## Properties
total DFT energy (no corrections) = -157.036 eV for the cell shown
E_form (uncorrected) = -77.1 kJ per mole of atoms
theoretical density = 8.7 g cm⁻³
calculated volume = 178.1 Å³/f.u.

abc: 14.516 13.841 7.585
angles: 79.46 69.63 30.91
Element x y z (fractional)
Ho 0.042 0.042 0.208
Ho 0.125 0.125 0.625
Ho 0.208 0.208 0.042
Ho 0.375 0.375 0.875
Ho 0.625 0.625 0.125
Ho 0.792 0.792 0.958
Ho 0.875 0.875 0.375
Ho 0.958 0.958 0.792
Np 0.292 0.292 0.458
Np 0.458 0.458 0.292
Np 0.542 0.542 0.708
Np 0.708 0.708 0.542
Sb 0.042 0.541 0.207
Sb 0.124 0.626 0.626
Sb 0.207 0.710 0.042
Sb 0.290 0.793 0.459
Sb 0.374 0.876 0.876
Sb 0.459 0.958 0.290
Sb 0.541 0.042 0.710
Sb 0.626 0.124 0.124
Sb 0.710 0.207 0.541
Sb 0.793 0.290 0.958
Sb 0.876 0.374 0.374
Sb 0.958 0.459 0.793



Below is crystalline Sr2Li3Ga2 at its relaxed geometry, with properties calculated at the PBE level.

## Properties
total DFT energy (no corrections) = -16.864 eV for the cell shown
ΔH_f (0 K) = -244 meV per atom
theoretical density = 3.1 g cm⁻³
calculated volume = 181.3 Å³/f.u.

abc: 6.231 6.231 7.688
angles: 117.00 117.00 44.18
Element x y z (fractional)
Sr 0.147 0.147 0.271
Sr 0.853 0.853 0.729
Li 0.344 0.344 0.066
Li 0.500 0.500 0.500
Li 0.656 0.656 0.934
Ga 0.120 0.120 0.684
Ga 0.880 0.880 0.316



Below is crystalline CdBW at its relaxed geometry, with properties calculated at the PBE level.

## Properties
total DFT energy (no corrections) = -19.632 eV for the cell shown
ΔH_f (0 K) = 304 meV per atom
theoretical density = 11.1 g cm⁻³
calculated volume = 45.9 Å³/f.u.
energy above the most stable polymorph in this dataset = 7.143 kcal/mol of atoms

abc: 3.034 5.090 5.090
angles: 35.73 90.00 90.00
Element x y z (fractional)
Cd 0.000 0.000 0.000
B 0.000 0.742 0.742
W 0.500 0.267 0.267



Below is crystalline Pm2HfZn at its relaxed geometry, with properties calculated at the PBE level.

## Properties
total DFT energy (no corrections) = -20.838 eV for the cell shown
ΔH_f (0 K) = -27 meV per atom
theoretical density = 8.5 g cm⁻³
calculated volume = 104.1 Å³/f.u.
energy above the most stable polymorph in this dataset = 0.000 kcal/mol of atoms

abc: 3.442 3.442 8.785
angles: 90.00 90.00 90.00
Element x y z (fractional)
Pm 0.000 0.000 0.232
Pm 0.000 0.000 0.768
Hf 0.500 0.500 0.500
Zn 0.500 0.500 0.000



Below is crystalline LaAl2Cl at its relaxed geometry, with properties calculated at the PBE level.

## Properties
total DFT energy (no corrections) = -16.604 eV for the cell shown
E_form (uncorrected) = -56.6 kJ per mole of atoms
theoretical density = 4.1 g cm⁻³
calculated volume = 93.4 Å³/f.u.
energy above the most stable polymorph in this dataset = 2.380 kcal/mol of atoms

abc: 6.408 6.408 6.408
angles: 143.30 143.30 52.88
Element x y z (fractional)
La 0.000 0.000 0.000
Al 0.250 0.750 0.500
Al 0.750 0.250 0.500
Cl 0.500 0.500 0.000



Below is crystalline GeTe2PtN at its relaxed geometry, with properties calculated at the PBE level.

## Properties
total DFT energy (no corrections) = -21.289 eV for the cell shown
E_form (uncorrected) = 76.8 kJ per mole of atoms
theoretical density = 8.5 g cm⁻³
calculated volume = 105.0 Å³/f.u.
energy above the most stable polymorph in this dataset = 7.004 kcal/mol of atoms

abc: 5.541 5.541 3.419
angles: 90.00 90.00 90.00
Element x y z (fractional)
Ge 0.000 0.000 0.000
Te 0.000 0.500 0.000
Te 0.500 0.000 0.000
Pt 0.500 0.500 0.500
N 0.000 0.000 0.500